# 1
Here is an optimized crystal structure of PmDyHo5 from Alexandria. Energies are from PBE.

Calculated values
Its total energy is -3.6129 eV/atom. The crystal system is orthorhombic. The distance to the lowest polymorph of the same formula is 0.798 eV/atom. The symmetry is No. 44.

POSCAR file:
```
PmDyHo5
1.0
-5.230 -3.165 0.618
-0.545 -0.648 -7.931
5.922 -3.069 3.855
Ho Dy Pm
5 1 1
direct
0.675 0.744 0.489
0.434 0.179 0.000
0.169 0.500 0.000
0.186 0.256 0.511
0.434 0.821 0.000
0.936 0.000 0.000
0.697 0.500 0.000
```

---

# 2
Here is an optimized crystal structure of Pm8DyHo6 from Alexandria. Energies are from PBE.

Calculated values
Its total energy is -4.5465 eV/atom. The crystal system is trigonal. The distance to the lowest polymorph of the same formula is 0.000 eV/atom. The symmetry is No. 148.

POSCAR file:
```
Pm8DyHo6
1.0
9.099 0.000 0.000
4.549 7.880 0.000
4.549 2.627 6.944
Ho Pm Dy
6 8 1
direct
0.461 0.902 0.883
0.246 0.539 0.117
0.539 0.098 0.117
0.098 0.246 0.117
0.754 0.461 0.883
0.902 0.754 0.883
0.888 0.250 0.580
0.250 0.282 0.580
0.578 0.578 0.267
0.282 0.888 0.580
0.718 0.112 0.420
0.422 0.422 0.733
0.750 0.718 0.420
0.112 0.750 0.420
0.000 0.000 0.000
```

---

# 3
Here is an optimized crystal structure of Pm12DyHo6 from Alexandria. Energies are from PBE.

Calculated values
Its total energy is -4.5510 eV/atom. The crystal system is trigonal. The distance to the lowest polymorph of the same formula is 0.122 eV/atom. The symmetry is No. 148.

POSCAR file:
```
Pm12DyHo6
1.0
8.565 0.696 0.834
-0.610 8.572 0.834
-0.610 -0.711 8.583
Ho Pm Dy
6 12 1
direct
0.299 0.741 0.902
0.701 0.259 0.098
0.098 0.701 0.259
0.741 0.902 0.299
0.902 0.299 0.741
0.259 0.098 0.701
0.537 0.433 0.780
0.017 0.196 0.362
0.780 0.537 0.433
0.362 0.017 0.196
0.220 0.463 0.567
0.567 0.220 0.463
0.196 0.362 0.017
0.804 0.638 0.983
0.433 0.780 0.537
0.638 0.983 0.804
0.463 0.567 0.220
0.983 0.804 0.638
0.000 0.000 0.000
```